The following is a DFT calculation (SCAN) of Mg2TcPb at its PBEsol-relaxed geometry.

Geometry as POSCAR:
```
Mg2TcPb
1.0
2.864 -4.486 0.000
2.864 4.486 0.000
-0.289 0.000 2.954
Mg Tc Pb
2 1 1
Cartesian
1.432 2.243 0.000
1.432 -2.243 0.000
-0.145 0.000 1.477
2.719 0.000 1.477
```

- space group = C2/m, No. 12
- M_tot (μB/cell) = 0.00
- ρ (g/cm3) = 7.74
- V (A^3/atom) = 18.977
- electronic total energy (hartree per atom) = -1.099
- DFT formation energy (eV per atom) = 0.29
- DOS at the Fermi energy (states/eV/f.u.) = 3.004